Density functional theory data (GGA-PBE) for an optimized crystal structure of Pa2AsC.

Cell: 5.5406 5.5410 10.6683 Å, 90.01 90.00 90.00°
Last column: nearest neighbours and their distance in Å.
Positions (direct):
Pa 0.7501 0.0000 0.8964  1 C 2.44
Pa 0.2499 0.0000 0.1036  1 C 2.44
Pa 0.7501 0.5000 0.6036  1 C 2.44
Pa 0.2499 0.5000 0.3964  1 C 2.44
Pa 0.7501 0.4999 0.1464  1 C 2.44
Pa 0.2499 0.5001 0.8536  1 C 2.44
Pa 0.7501 0.0001 0.3536  1 C 2.44
Pa 0.2499 0.9999 0.6464  1 C 2.44
As 0.2501 0.0000 0.3750  6 Pa 2.78-2.90
As 0.7499 0.0000 0.6250  6 Pa 2.78-2.90
As 0.2501 0.5000 0.1250  6 Pa 2.78-2.90
As 0.7499 0.5000 0.8750  6 Pa 2.78-2.90
C 0.2497 0.5004 0.6250  2 Pa 2.44
C 0.7503 0.4996 0.3750  2 Pa 2.44
C 0.2497 0.9996 0.8750  2 Pa 2.44
C 0.7503 0.0004 0.1250  2 Pa 2.44

Values from the calculation:
distance to the lowest polymorph of the same formula = 0.157 eV/atom
calculated total energy = -140.73 eV per cell
magnetization = 0.0 μB/f.u.